Material: MnPd2O
Method: DFT, GGA+U
State: optimized geometry

a b c (Å): 7.852 7.852 4.073
angles (deg): 90.00 90.00 90.00
Space group I-42d (No. 122)
One atom of each set of equivalent atoms:
Mn 0.000 0.000 0.000 [4 per cell]
Pd 0.134 0.250 0.625 [8 per cell]
O 0.000 0.000 0.500 [4 per cell]

Output
D(E_F), states/eV/cell: 10.36
Calculated total energy, eV for the cell shown: -92.7